DFT (meta-GGA SCAN) results for LiAg2Au at its PBEsol-relaxed geometry.

The structure belongs to space group Cm (No. 8); the cell edges are 9.3328, 2.8486 and 4.9124 Å and the angles 90.00°, 99.41° and 90.00°. The inequivalent atoms are Li at (0.0000, 0.0000, 0.0000), Ag at (0.0043, 0.5000, 0.5071), Ag at (0.2547, 0.5000, 0.2617) and Au at (0.2539, 0.0000, 0.7685).

For the formation energy, the calculation gives -0.91 eV per formula unit.